1.
Entry from Alexandria via LeMat-Bulk: an optimized crystal structure of PmEr2NpO8 (PBE).

Computed properties:
- calculated total energy (eV per atom) = -8.73
- total magnetic moment (μB/f.u.) = 0.01
- crystal system = monoclinic

a = 3.886 Å, b = 7.446 Å, c = 5.373 Å
α = 90.00°, β = 93.35°, γ = 90.00°
Space group P2/m (No. 10)
One atom of each set of equivalent atoms:
Pm: 0.000 0.000 0.000
Er: 0.500 0.243 0.500
Np: 0.000 0.500 0.000
O: 0.022 0.280 0.758
O: 0.464 0.500 0.227
O: 0.494 0.000 0.740

2.
Entry from Alexandria via LeMat-Bulk: an optimized crystal structure of PrEr2NpO8 (PBE).

Computed properties:
- calculated total energy (eV per atom) = -8.71
- total magnetic moment (μB/f.u.) = 0.03
- crystal system = monoclinic

a = 3.918 Å, b = 7.476 Å, c = 5.393 Å
α = 90.00°, β = 93.64°, γ = 90.00°
Space group P2/m (No. 10)
One atom of each set of equivalent atoms:
Pr: 0.000 0.000 0.000
Er: 0.500 0.244 0.500
Np: 0.000 0.500 0.000
O: 0.024 0.283 0.757
O: 0.461 0.500 0.226
O: 0.491 0.000 0.737

3.
Entry from Alexandria via LeMat-Bulk: an optimized crystal structure of ErNpPtO6 (PBE).

Computed properties:
- calculated total energy (eV per atom) = -8.06
- total magnetic moment (μB/f.u.) = 2.02
- crystal system = trigonal

a = 5.6072 Å, b = 5.6072 Å, c = 8.6417 Å
α = 90.00°, β = 90.00°, γ = 120.00°
Space group P-31c (No. 163)
One atom of each set of equivalent atoms:
Er: 0.3333 0.6667 0.2500
Np: 0.3333 0.6667 0.7500
Pt: 0.0000 0.0000 0.0000
O: 0.0203 0.3356 0.6236

4.
Entry from Alexandria via LeMat-Bulk: an optimized crystal structure of Er2PuNpO8 (PBE).

Computed properties:
- calculated total energy (eV per atom) = -9.58
- total magnetic moment (μB/f.u.) = 5.00
- crystal system = monoclinic

a = 3.766 Å, b = 7.504 Å, c = 5.311 Å
α = 90.00°, β = 90.17°, γ = 90.00°
Space group P2/m (No. 10)
One atom of each set of equivalent atoms:
Er: 0.000 0.250 0.000
Pu: 0.500 0.000 0.500
Np: 0.500 0.500 0.500
O: 0.001 0.000 0.256
O: 0.001 0.500 0.263
O: 0.499 0.259 0.740

Question: What is the total magnetic moment in the first record?
Answer: 0.01 μB/f.u.

Question: Which value of calculated total energy does entry 3 give?
Answer: -8.06 eV per atom